(1)
{
  "formula": "Cu2Si",
  "functional": "SCAN",
  "state": "PBEsol geometry",
  "lattice_angstrom": [[3.584, 0.000, 0.000], [0.000, 3.584, 0.000], [0.000, 0.000, 5.823]],
  "species": ["Cu", "Cu", "Cu", "Cu", "Si", "Si"],
  "frac_coords": [[0.000, 0.000, 0.000], [0.500, 0.500, 0.000], [0.500, 0.000, 0.310], [0.000, 0.500, 0.690], [0.500, 0.000, 0.707], [0.000, 0.500, 0.293]],
  "e_form_raw_ev_per_atom": 0.0332,
  "magnetic_moment_mub_per_fu": 0.00
}

(2)
{
  "formula": "Cu8Si",
  "functional": "SCAN",
  "state": "PBEsol geometry",
  "lattice_angstrom": [[3.590, 0.000, 0.000], [1.795, 5.334, 0.000], [1.795, 0.000, 5.334]],
  "species": ["Cu", "Cu", "Cu", "Cu", "Cu", "Cu", "Cu", "Cu", "Si"],
  "frac_coords": [[0.335, 0.000, 0.330], [0.665, 0.000, 0.670], [0.667, 0.333, 0.333], [0.335, 0.330, 0.000], [0.000, 0.333, 0.667], [0.665, 0.670, 0.000], [0.333, 0.667, 0.667], [0.000, 0.667, 0.333], [0.000, 0.000, 0.000]],
  "e_form_raw_ev_per_atom": -0.0424,
  "magnetic_moment_mub_per_fu": 0.00
}

(3)
{
  "formula": "Cu3Si4",
  "functional": "SCAN",
  "state": "PBEsol geometry",
  "lattice_angstrom": [[4.762, 0.000, 0.000], [0.000, 4.762, 0.000], [0.000, 0.000, 4.762]],
  "species": ["Cu", "Cu", "Cu", "Si", "Si", "Si", "Si"],
  "frac_coords": [[0.000, 0.500, 0.000], [0.000, 0.000, 0.500], [0.500, 0.000, 0.000], [0.000, 0.000, 0.000], [0.000, 0.500, 0.500], [0.500, 0.000, 0.500], [0.500, 0.500, 0.000]],
  "e_form_raw_ev_per_atom": 0.6210,
  "magnetic_moment_mub_per_fu": 0.00
}

(4)
{
  "formula": "Cu5Si",
  "functional": "SCAN",
  "state": "PBEsol geometry",
  "lattice_angstrom": [[-0.568, -1.858, 1.724], [3.685, -1.677, -0.594], [2.716, 4.591, 3.885]],
  "species": ["Cu", "Cu", "Cu", "Cu", "Cu", "Si"],
  "frac_coords": [[0.998, 0.000, 0.996], [0.333, 0.000, 0.665], [0.664, 0.000, 0.327], [0.448, 0.500, 0.896], [0.778, 0.500, 0.556], [0.113, 0.500, 0.227]],
  "e_form_raw_ev_per_atom": -0.0152,
  "relative_energy_mev_per_atom": 53,
  "magnetic_moment_mub_per_fu": 0.00
}

no.,VASP energy (eV for the cell shown)
1,-80.6
2,-132.0
3,-81.3
4,-86.1